(1)
Compound: Hf2MgSb
Source: Alexandria
Functional: GGA-PBEsol
Structure: relaxed

abc: 5.9139 6.2733 6.2733
angles: 77.16 61.88 61.88
Fractional positions:
Sb  0.0000  0.0000  0.0000
Sb  0.7500  0.5000  0.5000
Mg  0.5000  0.0000  0.0000
Mg  0.2500  0.5000  0.5000
Hf  0.6343  0.9907  0.4907
Hf  0.1157  0.0093  0.5093
Hf  0.3750  0.5093  0.9907
Hf  0.8750  0.4907  0.0093

Results
The value obtained for the total energy is -6.66 eV/atom. The value obtained for the magnetic moment is 0.000 μB/cell.

(2)
Compound: Mg3NO
Source: Alexandria
Functional: GGA-PBEsol
Structure: relaxed

abc: 4.0746 4.0746 4.0746
angles: 90.00 90.00 90.00
Fractional positions:
Mg  0.0000  0.5000  0.0000
Mg  0.0000  0.0000  0.5000
Mg  0.5000  0.0000  0.0000
O  0.5000  0.5000  0.5000
N  0.0000  0.0000  0.0000

Results
The value obtained for the total energy is -4.50 eV/atom. The value obtained for the magnetic moment is 0.000 μB/cell.

(3)
Compound: Nb2Al3Ga3
Source: Alexandria
Functional: GGA-PBEsol
Structure: relaxed

abc: 3.7950 3.7950 8.5692
angles: 90.00 90.00 90.00
Fractional positions:
Nb  0.5000  0.0000  0.7495
Nb  0.0000  0.5000  0.2505
Al  0.0000  0.5000  0.7517
Al  0.5000  0.0000  0.2483
Al  0.5000  0.5000  0.0000
Ga  0.0000  0.0000  0.5000
Ga  0.0000  0.0000  0.0000
Ga  0.5000  0.5000  0.5000

Results
The value obtained for the total energy is -5.89 eV/atom. The value obtained for the magnetic moment is 0.000 μB/cell. For the energy of formation from the pure elements, the calculation gives -0.40 eV/atom.

(4)
Compound: Ba2As2O7
Source: Alexandria
Functional: GGA-PBEsol
Structure: relaxed

abc: 7.4190 7.4240 13.3984
angles: 87.05 83.16 89.46
Fractional positions:
Ba  0.8751  0.3540  0.6384
Ba  0.1249  0.6460  0.3616
Ba  0.2703  0.7637  0.6512
Ba  0.7297  0.2363  0.3488
Ba  0.7169  0.6720  0.1397
Ba  0.2831  0.3280  0.8603
Ba  0.6659  0.9158  0.8420
Ba  0.3341  0.0842  0.1580
As  0.6010  0.7682  0.3943
As  0.3990  0.2318  0.6057
As  0.8006  0.8197  0.5900
As  0.1994  0.1803  0.4100
As  0.7973  0.4282  0.8918
As  0.2027  0.5718  0.1082
As  0.1939  0.8401  0.9134
As  0.8061  0.1599  0.0866
O  0.9767  0.4888  0.8067
O  0.0233  0.5112  0.1933
O  0.8695  0.9970  0.6492
O  0.1305  0.0030  0.3508
O  0.7475  0.6044  0.3519
O  0.2525  0.3956  0.6481
O  0.7163  0.9061  0.4757
O  0.2837  0.0939  0.5243
O  0.6783  0.9996  0.0419
O  0.3217  0.0004  0.9581
O  0.6923  0.6014  0.9507
O  0.3077  0.3986  0.0493
O  0.3368  0.6993  0.8449
O  0.6632  0.3007  0.1551
O  0.6387  0.6975  0.6628
O  0.3613  0.3025  0.3372
O  0.4064  0.6984  0.4612
O  0.5936  0.3016  0.5388
O  0.5789  0.9191  0.2966
O  0.4211  0.0809  0.7034
O  0.9804  0.6846  0.5524
O  0.0196  0.3154  0.4476
O  0.0308  0.9293  0.8490
O  0.9692  0.0707  0.1510
O  0.9156  0.2938  0.9806
O  0.0844  0.7062  0.0194
O  0.6587  0.2907  0.8375
O  0.3413  0.7093  0.1625

Results
The value obtained for the total energy is -6.72 eV/atom. The value obtained for the magnetic moment is 0.010 μB/cell.

(5)
Compound: SrCrIr2
Source: Alexandria
Functional: GGA-PBEsol
Structure: relaxed

abc: 2.8582 4.9069 5.5691
angles: 116.14 104.87 90.00
Last column: magnetic moment on the atom in μB.
Fractional positions:
Cr  0.0000  0.5000  0.0000  2.30
Ir  0.7178  0.7178  0.4357  -0.04
Ir  0.2822  0.2822  0.5643  -0.04
Sr  0.5000  0.0000  0.0000  0.03

Results
The polymorph energy (0 for the lowest one) is 1.826 eV per formula unit. The value obtained for the total energy is -7.37 eV/atom. The value obtained for the magnetic moment is 2.445 μB/cell. For the energy of formation from the pure elements, the calculation gives 0.56 eV/atom.

(6)
Compound: KSi2Pt2
Source: Alexandria
Functional: GGA-PBEsol
Structure: relaxed

abc: 4.2582 4.2582 6.0054
angles: 110.77 110.77 90.00
Fractional positions:
K  0.0000  0.0000  0.0000
Si  0.2500  0.7500  0.5000
Si  0.7500  0.2500  0.5000
Pt  0.3601  0.3601  0.7202
Pt  0.6399  0.6399  0.2798

Results
The value obtained for the total energy is -5.79 eV/atom. The value obtained for the magnetic moment is 0.000 μB/cell.

(7)
Compound: CrNi2Rh
Source: Alexandria
Functional: GGA-PBEsol
Structure: relaxed

abc: 2.5324 3.5806 5.0119
angles: 90.00 90.00 90.00
Last column: magnetic moment on the atom in μB.
Fractional positions:
Ni  0.0000  0.0000  0.7377  0.01
Ni  0.0000  0.0000  0.2623  0.01
Rh  0.5000  0.5000  0.0000  -0.01
Cr  0.5000  0.5000  0.5000  0.28

Results
The value obtained for the total energy is -7.64 eV/atom. The value obtained for the magnetic moment is 0.294 μB/cell. For the energy of formation from the pure elements, the calculation gives 0.04 eV/atom.

(8)
Compound: ReSi3Rh
Source: Alexandria
Functional: GGA-PBEsol
Structure: relaxed

abc: 4.4549 4.4549 4.4549
angles: 90.00 90.00 90.00
Last column: magnetic moment on the atom in μB.
Fractional positions:
Re  0.5000  0.5000  0.5000  1.83
Si  0.0000  0.5000  0.0000  0.00
Si  0.0000  0.0000  0.5000  0.00
Si  0.5000  0.0000  0.0000  0.00
Rh  0.0000  0.0000  0.0000  -0.02

Results
The value obtained for the total energy is -6.57 eV/atom. The value obtained for the magnetic moment is 2.010 μB/cell.

(9)
Compound: Si2TcTe
Source: Alexandria
Functional: GGA-PBEsol
Structure: relaxed

abc: 3.2081 4.4078 5.3716
angles: 99.35 90.00 111.34
Fractional positions:
Si  0.7277  0.4554  0.6642
Si  0.2723  0.5446  0.3358
Tc  0.0000  0.0000  0.5000
Te  0.5000  0.0000  0.0000

Results
The value obtained for the total energy is -6.41 eV/atom. The value obtained for the magnetic moment is 0.000 μB/cell.

(10)
Compound: Dy2GaAg
Source: Alexandria
Functional: GGA-PBEsol
Structure: relaxed

abc: 5.0216 5.0216 5.0216
angles: 60.00 60.00 60.00
Fractional positions:
Ag  0.5000  0.5000  0.5000
Ga  0.0000  0.0000  0.0000
Dy  0.7500  0.7500  0.7500
Dy  0.2500  0.2500  0.2500

Results
The value obtained for the total energy is -4.63 eV/atom. The value obtained for the magnetic moment is 0.001 μB/cell. For the energy of formation from the pure elements, the calculation gives -0.48 eV/atom.

(11)
Compound: GdGa3B4O12
Source: Alexandria
Functional: GGA-PBEsol
Structure: relaxed

abc: 6.0164 6.0164 6.0164
angles: 104.19 104.19 104.19
Last column: magnetic moment on the atom in μB.
Fractional positions:
Gd  0.5000  0.5000  0.5000  6.90
Ga  0.9492  0.5000  0.0508  0.00
Ga  0.5000  0.0508  0.9492  0.00
Ga  0.0508  0.9492  0.5000  0.00
B  0.5535  0.0000  0.4465  0.00
B  0.0000  0.4465  0.5535  0.00
B  0.4465  0.5535  0.0000  0.00
B  0.0000  0.0000  0.0000  0.00
O  0.5282  0.1302  0.2885  0.00
O  0.1302  0.2885  0.5282  0.00
O  0.8698  0.4718  0.7115  0.00
O  0.2885  0.5282  0.1302  0.00
O  0.7115  0.8698  0.4718  0.00
O  0.4718  0.7115  0.8698  0.00
O  0.1458  0.0000  0.8542  0.00
O  0.0000  0.8542  0.1458  0.00
O  0.8542  0.1458  0.0000  0.00
O  0.4079  0.0000  0.5921  0.00
O  0.0000  0.5921  0.4079  0.00
O  0.5921  0.4079  0.0000  0.00

Results
The value obtained for the total energy is -8.17 eV/atom. The value obtained for the magnetic moment is 6.987 μB/cell.

(12)
Compound: BaZrTe2
Source: Alexandria
Functional: GGA-PBEsol
Structure: relaxed

abc: 4.0253 4.0253 10.5585
angles: 79.01 79.01 60.00
Fractional positions:
Te  0.8900  0.8900  0.3301
Te  0.1100  0.1100  0.6699
Ba  0.0000  0.0000  0.0000
Zr  0.5000  0.5000  0.5000

Results
The polymorph energy (0 for the lowest one) is 0.361 eV per formula unit. The value obtained for the total energy is -5.33 eV/atom. The value obtained for the magnetic moment is 0.001 μB/cell.

(13)
Compound: ZnAgP2
Source: Alexandria
Functional: GGA-PBEsol
Structure: relaxed

abc: 2.6392 3.2032 7.6284
angles: 90.00 99.19 90.00
Fractional positions:
Ag  0.0693  0.5000  0.2614
P  0.9225  0.0000  0.9767
P  0.8257  0.5000  0.7648
Zn  0.6825  0.0000  0.4970

Results
The value obtained for the total energy is -3.99 eV/atom. The value obtained for the magnetic moment is 0.000 μB/cell. For the energy of formation from the pure elements, the calculation gives 0.12 eV/atom.

(14)
Compound: MgCo2Ni
Source: Alexandria
Functional: GGA-PBEsol
Structure: relaxed

abc: 2.6433 2.6433 6.8158
angles: 90.00 90.00 90.00
Last column: magnetic moment on the atom in μB.
Fractional positions:
Co  0.0000  0.0000  0.0063  1.66
Co  0.5000  0.5000  0.2165  1.32
Mg  0.0000  0.0000  0.5005  -0.02
Ni  0.5000  0.5000  0.7768  0.38

Results
The value obtained for the total energy is -5.75 eV/atom. The value obtained for the magnetic moment is 3.229 μB/cell. For the energy of formation from the pure elements, the calculation gives 0.08 eV/atom.

(15)
Compound: PrGe3Rh
Source: Alexandria
Functional: GGA-PBEsol
Structure: relaxed

abc: 4.3694 4.3694 5.8804
angles: 111.81 111.81 90.00
Fractional positions:
Pr  0.9975  0.9975  0.9950
Ge  0.2610  0.7610  0.5221
Ge  0.7610  0.2610  0.5221
Ge  0.4199  0.4199  0.8398
Rh  0.6571  0.6571  0.3142

Results
The value obtained for the total energy is -6.39 eV/atom. The value obtained for the magnetic moment is 0.000 μB/cell. For the energy of formation from the pure elements, the calculation gives -0.76 eV/atom.

(16)
Compound: AlBi
Source: Alexandria
Functional: GGA-PBEsol
Structure: relaxed

abc: 4.5045 4.5045 4.5045
angles: 60.00 60.00 60.00
Fractional positions:
Bi  0.7500  0.7500  0.7500
Al  0.0000  0.0000  0.0000

Results
The value obtained for the total energy is -4.06 eV/atom. The value obtained for the magnetic moment is 0.000 μB/cell. For the energy of formation from the pure elements, the calculation gives 0.12 eV/atom.

(17)
Compound: Sc2CrInGe
Source: Alexandria
Functional: GGA-PBEsol
Structure: relaxed

abc: 4.9423 5.3050 5.3050
angles: 90.00 90.00 90.00
Last column: magnetic moment on the atom in μB.
Fractional positions:
Sc  0.0000  0.0000  0.5000  0.11
Sc  0.0000  0.5000  0.0000  0.11
Cr  0.5000  0.5000  0.5000  4.08
Ge  0.5000  0.0000  0.0000  -0.03
In  0.0000  0.0000  0.0000  0.02

Results
The value obtained for the total energy is -5.23 eV/atom. The value obtained for the magnetic moment is 5.154 μB/cell. For the energy of formation from the pure elements, the calculation gives 1.04 eV/atom.

(18)
Compound: SrCd
Source: Alexandria
Functional: GGA-PBEsol
Structure: relaxed

abc: 4.4541 4.9403 6.5169
angles: 90.00 109.98 90.00
Fractional positions:
Sr  0.6457  0.7500  0.2914
Sr  0.3543  0.2500  0.7086
Cd  0.9325  0.7500  0.8649
Cd  0.0675  0.2500  0.1351

Results
The value obtained for the total energy is -1.81 eV/atom. The value obtained for the magnetic moment is 0.000 μB/cell. For the energy of formation from the pure elements, the calculation gives -0.29 eV/atom.

(19)
Compound: CaPt2
Source: Alexandria
Functional: GGA-PBEsol
Structure: relaxed

abc: 5.3595 5.3595 8.8331
angles: 90.00 90.00 120.00
Fractional positions:
Ca  0.6667  0.3333  0.9348
Ca  0.6667  0.3333  0.5652
Ca  0.3333  0.6667  0.4348
Ca  0.3333  0.6667  0.0652
Pt  0.0000  0.0000  0.0000
Pt  0.0000  0.0000  0.5000
Pt  0.8312  0.1688  0.2500
Pt  0.8312  0.6625  0.2500
Pt  0.6625  0.8312  0.7500
Pt  0.3375  0.1688  0.2500
Pt  0.1688  0.3375  0.7500
Pt  0.1688  0.8312  0.7500

Results
The value obtained for the total energy is -6.21 eV/atom. The value obtained for the magnetic moment is 0.000 μB/cell. For the energy of formation from the pure elements, the calculation gives -0.86 eV/atom.

(20)
Compound: LiMgRh2
Source: Alexandria
Functional: GGA-PBEsol
Structure: relaxed

abc: 2.8161 4.4039 4.4663
angles: 90.00 90.00 90.00
Fractional positions:
Mg  0.5000  0.6810  0.5000
Rh  0.5000  0.0755  0.0000
Rh  0.0000  0.1812  0.5000
Li  0.0000  0.5623  0.0000

Results
The value obtained for the total energy is -5.18 eV/atom. The value obtained for the magnetic moment is 0.000 μB/cell. For the energy of formation from the pure elements, the calculation gives -0.19 eV/atom.

(21)
Compound: Ba2TiO4
Source: Alexandria
Functional: GGA-PBEsol
Structure: relaxed

abc: 6.0938 10.5309 22.9745
angles: 90.00 90.00 90.00
Fractional positions:
Ba  0.7659  0.4233  0.1112
Ba  0.7344  0.7996  0.1648
Ba  0.2344  0.2004  0.8352
Ba  0.2831  0.5730  0.5542
Ba  0.2381  0.9261  0.7191
Ba  0.2894  0.2010  0.5023
Ba  0.7659  0.0767  0.6112
Ba  0.2517  0.1976  0.1696
Ba  0.2894  0.2990  0.0023
Ba  0.2659  0.9233  0.3888
Ba  0.2517  0.3024  0.6696
Ba  0.7344  0.7004  0.6648
Ba  0.7831  0.4270  0.4458
Ba  0.2381  0.5739  0.2191
Ba  0.2344  0.2996  0.3352
Ba  0.2659  0.5767  0.8888
Ba  0.7894  0.7990  0.4977
Ba  0.2831  0.9270  0.0542
Ba  0.7517  0.8024  0.8304
Ba  0.7517  0.6976  0.3304
Ba  0.7831  0.0730  0.9458
Ba  0.7894  0.7010  0.9977
Ba  0.7381  0.4261  0.7809
Ba  0.7381  0.0739  0.2809
O  0.5096  0.3533  0.5753
O  0.0330  0.7948  0.2515
O  0.5330  0.2052  0.7485
O  0.4735  0.7969  0.5800
O  0.8254  0.9379  0.3895
O  0.8216  0.5636  0.5551
O  0.8141  0.4384  0.3351
O  0.6774  0.4477  0.0024
O  0.1774  0.5523  0.9976
O  0.0023  0.3592  0.2265
O  0.6814  0.9372  0.7222
O  0.1774  0.9477  0.4976
O  0.8254  0.5621  0.8895
O  0.0063  0.8568  0.6065
O  0.9860  0.2991  0.5731
O  0.3155  0.5558  0.3286
O  0.5330  0.2948  0.2485
O  0.0023  0.1408  0.7265
O  0.3216  0.0636  0.9449
O  0.0330  0.7052  0.7515
O  0.8141  0.0616  0.8351
O  0.4735  0.7031  0.0800
O  0.1814  0.0628  0.2778
O  0.0096  0.6467  0.4247
O  0.3155  0.9442  0.8286
O  0.5023  0.6408  0.7735
O  0.8155  0.4442  0.6714
O  0.3254  0.0621  0.6105
O  0.5063  0.3568  0.8935
O  0.6814  0.5628  0.2222
O  0.9735  0.2969  0.9200
O  0.3254  0.4379  0.1105
O  0.8216  0.9364  0.0551
O  0.9735  0.2031  0.4200
O  0.8155  0.0558  0.1714
O  0.3141  0.9384  0.1649
O  0.3141  0.5616  0.6649
O  0.3216  0.4364  0.4449
O  0.0096  0.8533  0.9247
O  0.6774  0.0523  0.5024
O  0.0063  0.6432  0.1065
O  0.9860  0.2009  0.0731
O  0.1814  0.4372  0.7778
O  0.5023  0.8592  0.2735
O  0.5063  0.1432  0.3935
O  0.5096  0.1467  0.0753
O  0.4860  0.7991  0.9269
O  0.4860  0.7009  0.4269
Ti  0.7567  0.4150  0.9279
Ti  0.2797  0.9140  0.9052
Ti  0.7472  0.0868  0.7594
Ti  0.2567  0.5850  0.0721
Ti  0.7567  0.0850  0.4279
Ti  0.7797  0.0860  0.0948
Ti  0.7797  0.4140  0.5948
Ti  0.2567  0.9150  0.5721
Ti  0.2797  0.5860  0.4052
Ti  0.7472  0.4132  0.2594
Ti  0.2472  0.5868  0.7406
Ti  0.2472  0.9132  0.2406

Results
The value obtained for the total energy is -7.81 eV/atom. The value obtained for the magnetic moment is 0.001 μB/cell.